A plane-wave DFT calculation with PBE-GGA was carried out for a relaxed Ba8As3SCl4 crystal.

Cell: 9.400 9.349 9.400 Å, 120.18 120.00 90.00°
Fractional positions:
Cl1 0.000 0.000 0.000
Cl2 0.500 0.000 0.500
Cl3 0.000 0.000 0.500
Cl4 0.500 0.000 0.000
Ba1 0.243 0.728 0.986
Ba2 0.757 0.272 0.014
Ba3 0.757 0.272 0.514
Ba4 0.243 0.728 0.486
Ba5 0.744 0.733 0.488
Ba6 0.743 0.728 0.986
Ba7 0.257 0.272 0.014
Ba8 0.256 0.267 0.512
As1 0.500 0.500 0.500
As2 0.000 0.500 0.500
As3 0.500 0.500 0.000
S1 0.000 0.500 0.000

Values from the calculation:
Final energy in eV/f.u.: -69.2
Formation energy (no corrections) in eV per atom: -1.7727
Density of states at the Fermi level in states/eV per atom: 0.216
ρ in g cm⁻³: 4.27